Computed, not measured: a geometry-optimized Hf3CdHg2 structure at the PBE-GGA level of DFT.

## Properties
DFT formation energy = 0.14 eV per formula unit

Cell lengths 8.1332, 8.1332, 11.0413 Å; angles 104.40, 104.40, 22.53 degrees
Closest atoms and distances in Å follow each position.
Fractional positions:
Hf: 0.0780 0.0780 0.4543  6 Hf 2.91-3.18, 2 Hg 3.12
Hf: 0.2580 0.2580 0.6167  2 Hg 2.89-3.03, 7 Hf 2.98-3.20
Hf: 0.3927 0.3927 0.3008  8 Hf 3.07-3.40, 3 Hg 3.11-3.13, 2 Cd 3.39
Hf: 0.6073 0.6073 0.6992  8 Hf 3.07-3.40, 3 Hg 3.11-3.13, 2 Cd 3.39
Hf: 0.7420 0.7420 0.3833  2 Hg 2.89-3.03, 7 Hf 2.98-3.20
Hf: 0.9220 0.9220 0.5457  6 Hf 2.91-3.18, 2 Hg 3.12
Cd: 0.0879 0.0879 0.9618  7 Hg 3.06-3.25, 3 Cd 3.13-3.18, 2 Hf 3.39
Cd: 0.9121 0.9121 0.0382  7 Hg 3.06-3.25, 3 Cd 3.13-3.18, 2 Hf 3.39
Hg: 0.2564 0.2564 0.8780  3 Hf 2.89-3.11, 3 Cd 3.06-3.10, 4 Hg 3.18
Hg: 0.4380 0.4380 0.7932  4 Hf 3.03-3.13, 4 Cd 3.07-3.25, 3 Hg 3.18-3.26
Hg: 0.5620 0.5620 0.2068  4 Hf 3.03-3.13, 4 Cd 3.07-3.25, 3 Hg 3.18-3.26
Hg: 0.7436 0.7436 0.1220  3 Hf 2.89-3.11, 3 Cd 3.06-3.10, 4 Hg 3.18

Computed, not measured: a geometry-optimized Tb3Te2Pb structure at the PBE-GGA level of DFT.

## Properties
formation energy from raw total energies = -642 kJ/mol of formula units
energy above the lowest structure with this stoichiometry = 0.003 eV per atom

Cell lengths 7.6212, 7.6212, 7.6212 Å; angles 146.15, 131.73, 60.26 degrees
Closest atoms and distances in Å follow each position.
Fractional positions:
Tb: 0.0000 0.0000 0.0000  2 Pb 3.12, 4 Te 3.14
Tb: 0.3380 0.3380 0.0000  2 Pb 3.08, 4 Te 3.12-3.15
Tb: 0.6620 0.6620 0.0000  2 Pb 3.08, 4 Te 3.12-3.15
Te: 0.1681 0.6681 0.5000  6 Tb 3.12-3.15
Te: 0.8319 0.3319 0.5000  6 Tb 3.12-3.15
Pb: 0.5000 0.0000 0.5000  6 Tb 3.08-3.12

Computed, not measured: a geometry-optimized Ac3Sm8Ho structure at the PBE-GGA level of DFT.

## Properties
DFT formation energy = 2.88 eV per formula unit

Cell lengths 8.9864, 8.9864, 8.9864 Å; angles 136.55, 98.75, 97.00 degrees
Closest atoms and distances in Å follow each position.
Fractional positions:
Ac: 0.0000 0.0000 0.0000  8 Sm 3.54-3.60
Ac: 0.2560 0.5000 0.7560  10 Sm 3.90-4.32
Ac: 0.7440 0.5000 0.2440  10 Sm 3.90-4.32
Sm: 0.0803 0.8274 0.2529  6 Sm 3.44-3.80, 1 Ho 3.55, 1 Ac 3.60
Sm: 0.2642 0.0218 0.7576  6 Sm 3.23-3.54, 1 Ho 3.29, 1 Ac 3.54
Sm: 0.2642 0.5067 0.2424  6 Sm 3.23-3.54, 1 Ho 3.29, 1 Ac 3.54
Sm: 0.4254 0.1726 0.2529  6 Sm 3.44-3.80, 1 Ho 3.55, 1 Ac 3.60
Sm: 0.5746 0.8274 0.7471  6 Sm 3.44-3.80, 1 Ho 3.55, 1 Ac 3.60
Sm: 0.7358 0.4933 0.7576  6 Sm 3.23-3.54, 1 Ho 3.29, 1 Ac 3.54
Sm: 0.7358 0.9782 0.2424  6 Sm 3.23-3.54, 1 Ho 3.29, 1 Ac 3.54
Sm: 0.9197 0.1726 0.7471  6 Sm 3.44-3.80, 1 Ho 3.55, 1 Ac 3.60
Ho: 0.5000 0.0000 0.5000  8 Sm 3.29-3.55

Computed, not measured: a geometry-optimized Ac3NdPt structure at the PBE-GGA level of DFT.

## Properties
DFT formation energy = -1.53 eV per formula unit

Cell lengths 5.9669, 5.9669, 5.9669 Å; angles 90.00, 90.00, 90.00 degrees
Closest atoms and distances in Å follow each position.
Fractional positions:
Ac: 0.0000 0.0000 0.5000  2 Pt 2.98
Ac: 0.0000 0.5000 0.0000  2 Pt 2.98
Ac: 0.5000 0.0000 0.0000  2 Pt 2.98
Nd: 0.5000 0.5000 0.5000  12 Ac 4.22
Pt: 0.0000 0.0000 0.0000  6 Ac 2.98